[1]
Crystalline Dy4InGa2 at its relaxed geometry. Source: Alexandria via LeMat-Bulk, functional PBE.

Lattice parameters (Å, degrees): 5.019 5.019 9.427 74.56 74.56 60.00
Fractional coordinates of all 7 atoms:
Dy 0.382 0.382 0.855
In 0.000 0.000 0.000
Dy 0.794 0.794 0.617
Dy 0.618 0.618 0.145
Ga 0.901 0.901 0.298
Dy 0.206 0.206 0.383
Ga 0.099 0.099 0.702

Calculated values
- D(E_F): 0.787 states/eV per atom
- Calculated formation energy: -26.7 kJ per mole of atoms
- Crystal system: trigonal
- SG: No. 166

[2]
Crystalline Dy4InGa at its relaxed geometry. Source: Alexandria via LeMat-Bulk, functional PBE.

Lattice parameters (Å, degrees): 5.189 6.409 11.480 90.00 103.06 90.00
Fractional coordinates of all 12 atoms:
Ga 0.166 0.315 0.332
Dy 0.287 0.058 0.574
Dy 0.569 0.347 0.138
In 0.567 0.844 0.134
Dy 0.866 0.298 0.732
Ga 0.834 0.815 0.668
Dy 0.134 0.798 0.268
Dy 0.713 0.558 0.426
Dy 0.431 0.847 0.862
Dy 0.306 0.573 0.611
In 0.433 0.344 0.866
Dy 0.694 0.073 0.389

Calculated values
- D(E_F): 0.735 states/eV per atom
- Calculated formation energy: -11.4 kJ per mole of atoms
- Crystal system: orthorhombic
- SG: No. 36

[3]
Crystalline DyInGa at its relaxed geometry. Source: Alexandria via LeMat-Bulk, functional PBE.

Lattice parameters (Å, degrees): 4.729 4.729 4.729 60.00 60.00 60.00
Fractional coordinates of all 3 atoms:
Dy 0.500 0.500 0.500
Ga 0.250 0.250 0.250
In 0.000 0.000 0.000

Calculated values
- Energy above the most stable polymorph in this dataset: 0.1059 eV/atom
- D(E_F): 0.482 states/eV per atom
- Calculated formation energy: -35.0 kJ per mole of atoms
- Crystal system: cubic
- SG: No. 216

[4]
Crystalline DyInGa at its relaxed geometry. Source: Alexandria via LeMat-Bulk, functional PBE.

Lattice parameters (Å, degrees): 5.295 6.186 5.014 90.00 121.87 90.00
Fractional coordinates of all 6 atoms:
In 0.000 0.000 0.500
Ga 0.318 0.750 0.136
Dy 0.339 0.250 0.179
Ga 0.682 0.250 0.864
In 0.000 0.500 0.500
Dy 0.661 0.750 0.821

Calculated values
- Energy above the most stable polymorph in this dataset: 0.0404 eV/atom
- D(E_F): 0.274 states/eV per atom
- Calculated formation energy: -41.3 kJ per mole of atoms
- Crystal system: orthorhombic
- SG: No. 63

[5]
Crystalline Dy5InGa2 at its relaxed geometry. Source: Alexandria via LeMat-Bulk, functional PBE.

Lattice parameters (Å, degrees): 7.751 7.751 9.020 115.45 115.45 90.00
Fractional coordinates of all 16 atoms:
Dy 0.689 0.189 0.712
Ga 0.876 0.624 0.000
In 0.250 0.250 0.500
Dy 0.523 0.689 0.712
Dy 0.477 0.311 0.288
In 0.750 0.750 0.500
Dy 0.000 0.000 0.000
Ga 0.124 0.376 0.000
Dy 0.811 0.977 0.288
Ga 0.624 0.124 0.000
Dy 0.189 0.023 0.712
Dy 0.977 0.477 0.288
Dy 0.311 0.811 0.288
Dy 0.023 0.523 0.712
Ga 0.376 0.876 0.000
Dy 0.500 0.500 0.000

Calculated values
- D(E_F): 0.817 states/eV per atom
- Calculated formation energy: -45.8 kJ per mole of atoms
- Crystal system: tetragonal
- SG: No. 140

[6]
Crystalline Dy2In9Ga at its relaxed geometry. Source: Alexandria via LeMat-Bulk, functional PBE.

Lattice parameters (Å, degrees): 4.626 4.626 14.030 90.00 90.00 90.00
Fractional coordinates of all 12 atoms:
In 0.500 0.000 0.164
In 0.000 0.500 0.836
In 0.500 0.000 0.836
In 0.000 0.500 0.164
In 0.500 0.500 0.667
In 0.500 0.000 0.500
In 0.500 0.500 0.000
Dy 0.000 0.000 0.336
Dy 0.000 0.000 0.664
Ga 0.000 0.000 0.000
In 0.000 0.500 0.500
In 0.500 0.500 0.333

Calculated values
- D(E_F): 0.374 states/eV per atom
- Calculated formation energy: -22.9 kJ per mole of atoms
- Crystal system: tetragonal
- SG: No. 123

[7]
Crystalline Dy7InGa5 at its relaxed geometry. Source: Alexandria via LeMat-Bulk, functional PBE.

Lattice parameters (Å, degrees): 6.216 7.858 7.858 79.72 66.70 66.70
Fractional coordinates of all 13 atoms:
Ga 0.997 0.999 0.486
Ga 0.766 0.734 0.734
Ga 0.519 0.999 0.486
Dy 0.276 0.724 0.724
Dy 0.278 0.222 0.222
In 0.962 0.038 0.038
Dy 0.000 0.321 0.679
Dy 0.000 0.679 0.321
Ga 0.519 0.486 0.999
Dy 0.637 0.363 0.363
Ga 0.997 0.486 0.999
Dy 0.525 0.798 0.151
Dy 0.525 0.151 0.798

Calculated values
- D(E_F): 0.706 states/eV per atom
- Calculated formation energy: -37.4 kJ per mole of atoms
- Crystal system: orthorhombic
- SG: No. 44

[8]
Crystalline Dy5InGa4 at its relaxed geometry. Source: Alexandria via LeMat-Bulk, functional PBE.

Lattice parameters (Å, degrees): 3.570 3.570 18.458 90.00 90.00 90.00
Fractional coordinates of all 10 atoms:
Ga 0.000 0.000 0.209
Ga 0.000 0.000 0.791
Dy 0.500 0.500 0.307
Ga 0.000 0.000 0.404
Ga 0.000 0.000 0.596
Dy 0.500 0.500 0.888
Dy 0.500 0.500 0.500
Dy 0.500 0.500 0.693
In 0.000 0.000 0.000
Dy 0.500 0.500 0.112

Calculated values
- D(E_F): 0.398 states/eV per atom
- Calculated formation energy: -54.0 kJ per mole of atoms
- Crystal system: tetragonal
- SG: No. 123